Entry 1:
Te2RhW after structural relaxation, computed with PBE-GGA.

Cell lengths 3.429, 5.392, 8.676 Å; angles 90.00, 90.00, 90.00 degrees
Atoms (fractional coordinates):
Te: 0.000 0.000 0.246
Te: 0.000 0.000 0.754
Te: 0.500 0.500 0.246
Te: 0.500 0.500 0.754
Rh: 0.000 0.500 0.000
Rh: 0.500 0.000 0.000
W: 0.000 0.500 0.500
W: 0.500 0.000 0.500

formation energy from raw total energies = 0.769 eV per atom
distance to the lowest polymorph of the same formula = 14.69 kcal/mol of atoms



Entry 2:
Ho3Ge2Au after structural relaxation, computed with PBE-GGA.

Cell lengths 11.562, 4.307, 11.439 Å; angles 90.00, 90.00, 90.00 degrees
Atoms (fractional coordinates):
Ho: 0.053 0.250 0.123
Ho: 0.126 0.750 0.565
Ho: 0.211 0.250 0.810
Ho: 0.289 0.750 0.310
Ho: 0.374 0.250 0.065
Ho: 0.447 0.750 0.623
Ho: 0.553 0.250 0.377
Ho: 0.626 0.750 0.935
Ho: 0.711 0.250 0.690
Ho: 0.789 0.750 0.190
Ho: 0.874 0.250 0.435
Ho: 0.947 0.750 0.877
Ge: 0.008 0.750 0.309
Ge: 0.184 0.750 0.009
Ge: 0.316 0.250 0.509
Ge: 0.492 0.250 0.809
Ge: 0.508 0.750 0.191
Ge: 0.684 0.750 0.491
Ge: 0.816 0.250 0.991
Ge: 0.992 0.250 0.691
Au: 0.132 0.250 0.368
Au: 0.368 0.750 0.868
Au: 0.632 0.250 0.132
Au: 0.868 0.750 0.632

energy of formation = -794 meV per atom



Entry 3:
InReAg2 after structural relaxation, computed with PBE-GGA.

Cell lengths 4.506, 4.506, 7.103 Å; angles 90.00, 90.00, 90.00 degrees
Atoms (fractional coordinates):
In: 0.000 0.000 0.000
In: 0.500 0.500 0.500
Re: 0.000 0.500 0.750
Re: 0.500 0.000 0.250
Ag: 0.000 0.000 0.500
Ag: 0.000 0.500 0.250
Ag: 0.500 0.000 0.750
Ag: 0.500 0.500 0.000

energy of formation = 692 meV per atom



The calculation returns the following uncorrected energy values, one per record and in order: -5.88; -5.17; -4.53 eV per atom.
The calculation returns the following total magnetization values, one per record and in order: 0.000; 0.000; 0.396 μB/atom.